Ca6SbSe4, optimized geometry, DFT PBE; uncorrected formation energy = -1.6696 eV/atom; total moment = 0.09 μB per atom; E = -4.403 eV per atom; density = 3.58 Mg/m³
1.0
2.144 -6.915 0.000
2.144 6.915 0.000
0.000 0.000 21.202
Ca Sb Se
12 2 8
direct
0.000 0.000 0.000
0.000 0.000 0.500
0.171 0.829 0.750
0.271 0.729 0.087
0.271 0.729 0.413
0.456 0.544 0.666
0.456 0.544 0.834
0.544 0.456 0.166
0.544 0.456 0.334
0.729 0.271 0.587
0.729 0.271 0.913
0.829 0.171 0.250
0.163 0.837 0.250
0.837 0.163 0.750
0.093 0.907 0.623
0.093 0.907 0.877
0.362 0.638 0.543
0.362 0.638 0.957
0.638 0.362 0.043
0.638 0.362 0.457
0.907 0.093 0.123
0.907 0.093 0.377

Ca2SbSe, optimized geometry, DFT PBE; uncorrected formation energy = -1.1041 eV/atom; total moment = 0.00 μB per atom; E = -4.007 eV per atom; density = 3.88 Mg/m³
1.0
-4.034 4.034 3.697
4.034 -4.034 3.697
4.034 4.034 -3.697
Ca Sb Se
4 2 2
direct
0.098 0.625 0.973
0.375 0.348 0.473
0.652 0.125 0.027
0.875 0.902 0.527
0.250 0.750 0.500
0.500 0.500 0.000
0.000 0.000 0.000
0.750 0.250 0.500

Ca2SbSe, optimized geometry, DFT PBE; uncorrected formation energy = -1.2467 eV/atom; total moment = 0.00 μB per atom; E = -4.149 eV per atom; density = 4.39 Mg/m³
1.0
2.525 -2.649 0.000
2.525 2.649 0.000
0.000 0.000 7.951
Ca Sb Se
2 1 1
direct
0.000 0.000 0.226
0.000 0.000 0.774
0.500 0.500 0.500
0.500 0.500 0.000

CaSbSe2, optimized geometry, DFT PBE; uncorrected formation energy = -0.9472 eV/atom; total moment = 0.00 μB per atom; E = -4.220 eV per atom; density = 5.17 Mg/m³
1.0
4.717 0.000 0.000
0.000 1.935 5.628
0.000 -1.935 5.628
Ca Sb Se
1 1 2
direct
0.000 0.000 0.000
0.500 0.228 0.228
0.000 0.724 0.724
0.500 0.463 0.463

CaSb2Se2, optimized geometry, DFT PBE; uncorrected formation energy = -0.4976 eV/atom; total moment = 0.00 μB per atom; E = -3.941 eV per atom; density = 5.22 Mg/m³
1.0
8.022 0.000 0.000
0.000 8.022 0.000
0.000 0.000 4.367
Ca Sb Se
2 4 4
direct
0.000 0.000 0.000
0.500 0.500 0.000
0.188 0.312 0.500
0.312 0.812 0.500
0.688 0.188 0.500
0.812 0.688 0.500
0.166 0.666 0.000
0.334 0.166 0.000
0.666 0.834 0.000
0.834 0.334 0.000

Ca2SbSe, optimized geometry, DFT PBE; uncorrected formation energy = -0.4686 eV/atom; total moment = 0.00 μB per atom; E = -3.371 eV per atom; density = 4.24 Mg/m³
1.0
0.000 3.804 3.804
3.804 0.000 3.804
3.804 3.804 0.000
Ca Sb Se
2 1 1
direct
0.000 0.000 0.000
0.250 0.250 0.250
0.500 0.500 0.500
0.750 0.750 0.750

Q: E of number 5 (CaSb2Se2)?
A: -3.941 eV per atom